Sm2MnCoO6: optimized geometry, GGA+U.

abc: 5.3918 5.6790 9.1727
angles: 90.00 125.24 90.00
Space group P2_1/c (No. 14)
Unique sites:
Sm (0.2330, 0.0659, 0.2498) (multiplicity 4)
Mn (0.5000, 0.0000, 0.0000) (multiplicity 2)
Co (0.0000, 0.0000, 0.5000) (multiplicity 2)
O (0.1484, 0.2065, 0.9534) (multiplicity 4)
O (0.2435, 0.6926, 0.9528) (multiplicity 4)
O (0.3433, 0.0254, 0.7507) (multiplicity 4)

Calculated values
Spin magnetization: 4.00 μB/f.u.
Raw total energy: -150.9 eV/cell